[1]
An optimized crystal structure of TaVPt2. Source: Alexandria, functional PBE-GGA.

Values from the calculation:
* total moment: 0.69 μB per atom
* E above lowest polymorph: 0.3010 eV per atom

Lattice parameters (Å, degrees): 6.3912 6.3912 6.3912 90.00 90.00 90.00
With the nearest neighbours (Å) after each atom.
Space group Fm-3m (No. 225)
Symmetry-distinct sites (fractional):
Ta 0.0000 0.0000 0.0000 [4 per cell]  8 Pt 2.77
V 0.0000 0.0000 0.5000 [4 per cell]  8 Pt 2.77
Pt 0.2500 0.2500 0.2500 [8 per cell]  4 Ta 2.77, 4 V 2.77

[2]
An optimized crystal structure of TaV4Pt. Source: Alexandria, functional PBE-GGA.

Values from the calculation:
* total moment: 0.00 μB per atom

Lattice parameters (Å, degrees): 7.0317 7.0317 7.0317 90.00 90.00 90.00
With the nearest neighbours (Å) after each atom.
Space group F-43m (No. 216)
Symmetry-distinct sites (fractional):
Ta 0.0000 0.0000 0.0000 [4 per cell]  12 V 2.91, 4 Pt 3.04
V 0.1267 0.1267 0.6267 [16 per cell]  6 V 2.45-2.52
Pt 0.2500 0.2500 0.2500 [4 per cell]  12 V 2.92, 4 Ta 3.04

no.,calculated formation energy (eV/atom)
1,-0.31
2,-0.16